DFT (PBE) results for ErAl2Fe after structural relaxation.

Values from the calculation:
total energy = -0.185 Ha/atom
total magnetization = 0.36 μB per atom
space-group type = R-3m (166)

Unit cell a=3.089 b=3.089 c=8.973 alpha=80.09 beta=80.09 gamma=60.00
Site moments in Bohr magnetons follow the coordinates.
Positions (direct):
Er 0.500 0.500 0.500  0.03
Fe 0.000 0.000 0.000  1.61
Al 0.734 0.734 0.799  -0.03
Al 0.266 0.266 0.201  -0.03


DFT (PBE) results for K3Bi4Pt2 after structural relaxation.

Values from the calculation:
total magnetization = 0.00 μB per atom
energy above the lowest structure with this stoichiometry = 20 meV per atom
space-group type = C2/m (12)

Unit cell a=4.982 b=6.557 c=9.892 alpha=95.03 beta=90.00 gamma=112.33
Positions (direct):
K 0.401 0.802 0.289
Bi 0.298 0.595 0.922
Pt 0.695 0.390 0.354
K 0.599 0.198 0.711
Pt 0.305 0.610 0.646
Bi 0.131 0.262 0.439
Bi 0.869 0.738 0.561
K 0.000 0.000 0.000
Bi 0.702 0.405 0.078


DFT (PBE) results for CuAs2Ir after structural relaxation.

Values from the calculation:
total magnetization = 0.00 μB per atom
energy above the lowest structure with this stoichiometry = 21 meV per atom
space-group type = P4mm (99)

Unit cell a=2.966 b=2.966 c=7.780 alpha=90.00 beta=90.00 gamma=90.00
Positions (direct):
Cu 0.000 0.000 0.509
Ir 0.500 0.500 0.743
As 0.000 0.000 0.929
As 0.500 0.500 0.319


DFT (PBE) results for La3Sb2I after structural relaxation.

Values from the calculation:
total magnetization = 0.00 μB per atom
formation energy (no corrections) = -0.84 eV per atom
space-group type = Cmcm (63)

Unit cell a=5.542 b=7.402 c=11.472 alpha=90.00 beta=90.00 gamma=111.99
Positions (direct):
La 0.903 0.806 0.250
Sb 0.000 0.000 0.500
La 0.097 0.194 0.750
I 0.233 0.466 0.250
La 0.375 0.749 0.522
I 0.767 0.534 0.750
Sb 0.496 0.992 0.750
La 0.625 0.251 0.022
La 0.375 0.749 0.978
Sb 0.504 0.008 0.250
La 0.625 0.251 0.478
Sb 0.000 0.000 0.000


DFT (PBE) results for OsRu after structural relaxation.

Values from the calculation:
total energy = -0.377 Ha/atom
total magnetization = 0.00 μB per atom
space-group type = Pmma (51)

Unit cell a=4.331 b=2.733 c=4.753 alpha=90.00 beta=90.00 gamma=90.00
Positions (direct):
Os 0.750 0.500 0.835
Ru 0.250 0.000 0.666
Os 0.250 0.500 0.165
Ru 0.750 0.000 0.334


DFT (PBE) results for BaYZr2Ta after structural relaxation.

Values from the calculation:
total energy = -0.212 Ha/atom
total magnetization = 0.00 μB per atom
space-group type = P4/mmm (123)

Unit cell a=5.290 b=5.211 c=5.290 alpha=90.00 beta=90.00 gamma=90.00
Positions (direct):
Zr 0.000 0.000 0.500
Y 0.500 0.500 0.500
Ta 0.000 0.500 0.000
Ba 0.000 0.000 0.000
Zr 0.500 0.000 0.000


DFT (PBE) results for LiYSb2 after structural relaxation.

Values from the calculation:
total magnetization = 0.00 μB per atom
energy above the lowest structure with this stoichiometry = 174 meV per atom
formation energy (no corrections) = -0.62 eV per atom
space-group type = Pmmm (47)

Unit cell a=3.387 b=4.218 c=7.001 alpha=90.00 beta=90.00 gamma=90.00
Positions (direct):
Y 0.500 0.500 0.250
Sb 0.000 0.000 0.991
Sb 0.000 0.000 0.509
Li 0.500 0.500 0.750


DFT (PBE) results for Ga4CuIr after structural relaxation.

Values from the calculation:
total magnetization = 0.00 μB per atom
energy above the lowest structure with this stoichiometry = 0 meV per atom
space-group type = Fddd (70)

Unit cell a=5.872 b=5.871 c=7.269 alpha=113.92 beta=113.93 gamma=89.76
Positions (direct):
Ga 0.500 0.251 0.998
Ga 0.253 0.001 0.502
Ga 0.001 0.253 0.002
Ga 0.747 0.999 0.498
Ir 0.875 0.125 0.250
Ga 0.251 0.500 0.498
Ga 0.500 0.749 0.002
Cu 0.625 0.375 0.750
Ga 0.999 0.747 0.998
Ga 0.749 0.500 0.502
Ir 0.125 0.875 0.750
Cu 0.375 0.625 0.250


DFT (PBE) results for ScReHg2 after structural relaxation.

Values from the calculation:
total magnetization = 0.00 μB per atom
energy above the lowest structure with this stoichiometry = 254 meV per atom
space-group type = F-43m (216)

Unit cell a=4.792 b=4.792 c=4.792 alpha=60.00 beta=60.00 gamma=60.00
Positions (direct):
Re 0.500 0.500 0.500
Hg 0.000 0.000 0.000
Sc 0.750 0.750 0.750
Hg 0.250 0.250 0.250


DFT (PBE) results for BaHIr3 after structural relaxation.

Values from the calculation:
total magnetization = 0.00 μB per atom
energy above the lowest structure with this stoichiometry = 0 meV per atom
space-group type = Pm-3m (221)

Unit cell a=4.292 b=4.292 c=4.292 alpha=90.00 beta=90.00 gamma=90.00
Positions (direct):
Ba 0.500 0.500 0.500
Ir 0.000 0.500 0.000
Ir 0.000 0.000 0.500
Ir 0.500 0.000 0.000
H 0.000 0.000 0.000


DFT (PBE) results for SrMoAs after structural relaxation.

Values from the calculation:
total energy = -0.205 Ha/atom
total magnetization = 0.24 μB per atom
space-group type = P3m1 (156)

Unit cell a=3.742 b=3.742 c=6.079 alpha=90.00 beta=90.00 gamma=120.00
Site moments in Bohr magnetons follow the coordinates.
Positions (direct):
Sr 0.333 0.667 0.686  0.03
Mo 0.667 0.333 0.259  0.53
As 0.000 0.000 0.055  -0.01


DFT (PBE) results for Ni8Sn2Sb after structural relaxation.

Values from the calculation:
total magnetization = 0.00 μB per atom
formation energy (no corrections) = -0.14 eV per atom
space-group type = Immm (71)

Unit cell a=3.718 b=7.391 c=6.914 alpha=122.31 beta=105.60 gamma=90.00
Positions (direct):
Ni 0.000 0.237 0.000
Sb 0.500 0.000 0.000
Ni 0.669 0.414 0.338
Sn 0.849 0.349 0.699
Ni 0.669 0.924 0.338
Ni 0.000 0.763 0.000
Ni 0.331 0.586 0.662
Ni 0.331 0.076 0.662
Sn 0.151 0.651 0.301
Ni 0.176 0.176 0.351
Ni 0.824 0.824 0.649


DFT (PBE) results for ThTcB2 after structural relaxation.

Values from the calculation:
total magnetization = 0.00 μB per atom
energy above the lowest structure with this stoichiometry = 82 meV per atom
space-group type = Pnma (62)

Unit cell a=3.861 b=5.966 c=9.882 alpha=90.00 beta=90.00 gamma=90.00
Positions (direct):
B 0.750 0.976 0.664
Tc 0.750 0.886 0.431
B 0.750 0.272 0.679
B 0.250 0.524 0.164
B 0.750 0.476 0.836
B 0.250 0.228 0.179
Th 0.250 0.617 0.634
Tc 0.250 0.614 0.931
Tc 0.750 0.386 0.069
B 0.750 0.772 0.821
B 0.250 0.728 0.321
Tc 0.250 0.114 0.569
Th 0.250 0.117 0.866
Th 0.750 0.883 0.134
B 0.250 0.024 0.336
Th 0.750 0.383 0.366


DFT (PBE) results for TaInCuIr2 after structural relaxation.

Values from the calculation:
total energy = -0.224 Ha/atom
total magnetization = 0.00 μB per atom
space-group type = P4/mmm (123)

Unit cell a=4.798 b=4.734 c=4.798 alpha=90.00 beta=90.00 gamma=90.00
Positions (direct):
Ir 0.500 0.000 0.000
Cu 0.000 0.500 0.000
In 0.500 0.500 0.500
Ir 0.000 0.000 0.500
Ta 0.000 0.000 0.000


DFT (PBE) results for La3PrHo3 after structural relaxation.

Values from the calculation:
total magnetization = 0.00 μB per atom
energy above the lowest structure with this stoichiometry = 0 meV per atom
space-group type = P6_3/m (176)

Unit cell a=5.856 b=9.799 c=9.799 alpha=120.00 beta=90.00 gamma=90.00
Positions (direct):
La 0.250 0.376 0.473
Ho 0.250 0.230 0.046
La 0.250 0.527 0.903
Ho 0.250 0.954 0.184
Ho 0.750 0.046 0.816
Pr 0.250 0.667 0.333
La 0.750 0.624 0.527
La 0.250 0.097 0.624
Pr 0.750 0.333 0.667
Ho 0.750 0.184 0.230
Ho 0.750 0.770 0.954
La 0.750 0.473 0.097
La 0.750 0.903 0.376
Ho 0.250 0.816 0.770


DFT (PBE) results for YThO after structural relaxation.

Values from the calculation:
total magnetization = 0.00 μB per atom
energy above the lowest structure with this stoichiometry = 68 meV per atom
formation energy (no corrections) = -1.65 eV per atom
space-group type = P3m1 (156)

Unit cell a=3.688 b=3.688 c=5.776 alpha=90.00 beta=90.00 gamma=120.00
Positions (direct):
Y 0.333 0.667 0.564
O 0.667 0.333 0.337
Th 0.000 0.000 0.099


DFT (PBE) results for Nd3Cu8Ni after structural relaxation.

Values from the calculation:
total energy = -0.165 Ha/atom
total magnetization = 0.00 μB per atom
space-group type = R3m (160)

Unit cell a=5.172 b=5.172 c=9.153 alpha=73.59 beta=73.59 gamma=60.00
Positions (direct):
Cu 0.940 0.940 0.675
Nd 0.987 0.987 0.039
Cu 0.940 0.446 0.675
Cu 0.687 0.687 0.939
Cu 0.431 0.945 0.193
Ni 0.864 0.864 0.407
Cu 0.945 0.431 0.193
Cu 0.431 0.431 0.193
Cu 0.446 0.940 0.675
Nd 0.381 0.381 0.856
Cu 0.189 0.189 0.434
Nd 0.510 0.510 0.470


DFT (PBE) results for LiTmAlIr after structural relaxation.

Values from the calculation:
total energy = -0.198 Ha/atom
total magnetization = 0.00 μB per atom
space-group type = F-43m (216)

Unit cell a=4.584 b=4.584 c=4.584 alpha=60.00 beta=60.00 gamma=60.00
Positions (direct):
Tm 0.750 0.750 0.750
Li 0.000 0.000 0.000
Ir 0.500 0.500 0.500
Al 0.250 0.250 0.250


DFT (PBE) results for NaFeI3 after structural relaxation.

Values from the calculation:
total magnetization = 0.80 μB per atom
energy above the lowest structure with this stoichiometry = 0 meV per atom
formation energy (no corrections) = -0.54 eV per atom
space-group type = Ama2 (40)

Unit cell a=4.401 b=7.422 c=13.403 alpha=106.07 beta=90.00 gamma=90.00
Site moments in Bohr magnetons follow the coordinates.
Positions (direct):
I 0.250 0.109 0.226  0.09
I 0.750 0.598 0.152  0.12
I 0.750 0.883 0.774  0.09
I 0.750 0.282 0.568  0.07
Fe 0.750 0.525 0.753  3.31
Na 0.250 0.040 0.651  0.00
Na 0.750 0.390 0.349  0.00
Fe 0.250 0.772 0.247  3.31
I 0.250 0.714 0.432  0.07
I 0.250 0.446 0.848  0.12


DFT (PBE) results for Be2CdMo after structural relaxation.

Values from the calculation:
total energy = -0.160 Ha/atom
total magnetization = 0.00 μB per atom
space-group type = I-4m2 (119)

Unit cell a=5.066 b=5.066 c=5.066 alpha=139.70 beta=139.70 gamma=58.31
Positions (direct):
Be 0.000 0.000 0.000
Be 0.250 0.750 0.500
Mo 0.750 0.250 0.500
Cd 0.500 0.500 0.000


DFT (PBE) results for LiGa2Pb after structural relaxation.

Values from the calculation:
total energy = -0.111 Ha/atom
total magnetization = 0.00 μB per atom
space-group type = P-1 (2)

Unit cell a=4.549 b=4.687 c=9.344 alpha=102.27 beta=89.99 gamma=118.45
Positions (direct):
Pb 0.871 0.238 0.141
Pb 0.129 0.762 0.859
Ga 0.288 0.078 0.380
Ga 0.596 0.691 0.310
Ga 0.712 0.922 0.620
Li 0.500 0.500 0.000
Li 0.000 0.500 0.500
Ga 0.404 0.309 0.690


DFT (PBE) results for PrTh3Co after structural relaxation.

Values from the calculation:
total energy = -0.251 Ha/atom
total magnetization = 0.00 μB per atom
space-group type = Pm-3m (221)

Unit cell a=5.373 b=5.373 c=5.373 alpha=90.00 beta=90.00 gamma=90.00
Positions (direct):
Th 0.000 0.000 0.500
Co 0.000 0.000 0.000
Th 0.500 0.000 0.000
Th 0.000 0.500 0.000
Pr 0.500 0.500 0.500